7
Lattice="-3.384 1.634 -0.487 -1.648 -3.412 0.000 -3.315 -0.503 6.606" Properties=species:S:1:pos:R:3 comment="Eu2H4Ir (PBE, optimized geometry)" space_group=I4/mmm dft_energy_ev_per_fu=-46.10 pbc="T T T"
H -1.692 0.817 -0.243
H -0.824 -1.706 0.000
H -3.114 -0.600 4.889
H -5.232 -1.681 1.230
Eu -5.623 -1.492 4.583
Eu -2.723 -0.789 1.537
Ir 0.000 0.000 0.000